Density functional theory data (PBE) for a relaxed structure of RbSnAsO5.

a b c (Å): 6.9245 11.1126 13.8773
angles (deg): 90.00 90.00 90.00
Fractional coordinates of all 64 atoms:
Rb (0.7791, 0.7963, 0.3782)
Rb (0.2791, 0.2963, 0.1218)
Rb (0.7209, 0.7963, 0.8782)
Rb (0.3103, 0.0525, 0.8886)
Rb (0.8103, 0.5525, 0.6114)
Rb (0.6897, 0.5525, 0.1114)
Rb (0.1897, 0.0525, 0.3886)
Rb (0.2209, 0.2963, 0.6218)
Sn (0.7464, 0.2366, 0.7501)
Sn (0.2536, 0.7366, 0.2499)
Sn (0.7536, 0.2366, 0.2501)
Sn (0.5011, 0.9852, 0.6269)
Sn (0.4989, 0.4852, 0.3731)
Sn (0.9989, 0.9852, 0.1269)
Sn (0.0011, 0.4852, 0.8731)
Sn (0.2464, 0.7366, 0.7499)
As (0.9977, 0.9874, 0.6760)
As (0.0023, 0.4874, 0.3240)
As (0.5023, 0.9874, 0.1760)
As (0.4977, 0.4874, 0.8240)
As (0.1669, 0.7339, 0.0024)
As (0.8331, 0.2339, 0.9976)
As (0.3331, 0.7339, 0.5024)
As (0.6669, 0.2339, 0.4976)
O (0.4679, 0.8715, 0.2565)
O (0.5321, 0.3715, 0.7435)
O (0.0321, 0.8715, 0.7565)
O (0.9679, 0.3715, 0.2435)
O (0.9718, 0.1100, 0.7515)
O (0.0282, 0.6100, 0.2485)
O (0.5282, 0.1100, 0.2515)
O (0.4718, 0.6100, 0.7485)
O (0.0474, 0.8632, 0.2316)
O (0.9526, 0.3632, 0.7684)
O (0.4526, 0.8632, 0.7316)
O (0.5474, 0.3632, 0.2684)
O (0.5310, 0.1202, 0.7230)
O (0.4690, 0.6202, 0.2770)
O (0.9690, 0.1202, 0.2230)
O (0.8168, 0.2102, 0.4006)
O (0.0310, 0.6202, 0.7770)
O (0.3038, 0.4579, 0.8975)
O (0.8038, 0.9579, 0.6025)
O (0.1962, 0.4579, 0.3975)
O (0.1928, 0.0158, 0.6023)
O (0.8072, 0.5158, 0.3977)
O (0.3072, 0.0158, 0.1023)
O (0.6928, 0.5158, 0.8977)
O (0.5098, 0.1145, 0.5119)
O (0.4902, 0.6145, 0.4881)
O (0.9902, 0.1145, 0.0119)
O (0.0098, 0.6145, 0.9881)
O (0.0196, 0.8589, 0.0141)
O (0.9804, 0.3589, 0.9859)
O (0.4804, 0.8589, 0.5141)
O (0.5196, 0.3589, 0.4859)
O (0.8110, 0.2595, 0.5965)
O (0.1890, 0.7595, 0.4035)
O (0.6890, 0.2595, 0.0965)
O (0.3110, 0.7595, 0.9035)
O (0.3168, 0.7102, 0.0994)
O (0.6832, 0.2102, 0.9006)
O (0.1832, 0.7102, 0.5994)
O (0.6962, 0.9579, 0.1025)

Summary:
symmetry: No. 33
crystal system: orthorhombic
ρ: 4.5 g cm⁻³
formation energy from raw total energies: -1588 meV/atom